# 1
Below is a relaxed structure of PmB6Ru6, with properties calculated at the GGA-PBE level.

## Properties
Density of states at the Fermi level = 7.5 states/eV per cell
E_form = 0.212 eV/atom

```
PmB6Ru6
1.0
-4.743 -0.304 -0.012
-2.024 -5.614 0.723
-2.409 0.211 5.504
Pm B Ru
1 6 6
Cartesian
0.000 0.000 0.000
-1.012 -2.807 0.362
-3.384 -2.959 0.356
-1.205 0.105 2.752
-3.576 -0.047 2.746
-4.486 -4.399 1.839
-4.690 -1.308 4.376
-4.540 -3.649 4.080
-4.637 -2.059 2.135
-2.280 -1.735 3.907
-2.153 -3.668 2.320
-2.313 -1.119 1.177
-6.863 -4.588 5.038
```

# 2
Below is a relaxed structure of NpTcGeOs, with properties calculated at the GGA-PBE level.

## Properties
Density of states at the Fermi level = 4.4 states/eV per cell
E_form = 0.036 eV/atom

```
NpTcGeOs
1.0
-0.378 -3.069 3.362
3.751 -1.640 2.027
0.978 1.190 4.300
Np Ge Os Tc
1 1 1 1
Cartesian
2.176 -1.760 4.845
0.000 0.000 0.000
1.088 -0.880 2.422
3.263 -2.640 7.267
```

# 3
Below is a relaxed structure of AcNdEr2Se4, with properties calculated at the GGA-PBE level.

## Properties
Formation energy without anion corrections = -1365 kJ/mol of formula units
Density of states at the Fermi level = 3.2 states/eV per cell

```
AcNdEr2Se4
1.0
-1.038 1.315 3.726
-0.243 -7.162 2.461
6.455 -1.729 2.409
Ac Nd Er Se
1 1 2 4
Cartesian
-0.641 -2.923 3.093
3.106 -4.446 2.435
6.455 -1.729 2.409
2.709 -0.207 3.068
4.556 -6.851 3.688
0.619 -0.725 4.908
0.884 -5.317 4.363
4.291 -2.259 4.233
```